Er2PuFeO8: optimized geometry, PBE with a Hubbard U.

Unit cell a=4.9247 b=4.9282 c=6.8712 alpha=85.36 beta=85.50 gamma=85.37
Closest atoms and distances in Å follow each position.
Fractional coordinates of all 12 atoms:
1 Er 0.0375 0.0365 0.2327  6 O 2.20-2.38
2 Er 0.9625 0.9635 0.7673  6 O 2.20-2.38
3 Pu 0.5000 0.5000 0.5000  4 O 1.90-1.99
4 Fe 0.5000 0.5000 0.0000  4 O 1.88-1.94
5 O 0.1991 0.7941 0.5007  1 Pu 1.99
6 O 0.2180 0.7802 0.0003  1 Fe 1.88
7 O 0.2947 0.2875 0.6926  1 Pu 1.90
8 O 0.3423 0.3396 0.2455  1 Fe 1.94
9 O 0.6577 0.6604 0.7545  1 Fe 1.94
10 O 0.7053 0.7125 0.3074  1 Pu 1.90
11 O 0.7820 0.2198 0.9997  1 Fe 1.88
12 O 0.8009 0.2059 0.4993  1 Pu 1.99

Values from the calculation:
* crystal system: triclinic
* E: -8.199 eV per atom
* theoretical density: 7.66 g/cm3